Entry 1:
Y3Ir: relaxed, PBE.

The structure in POSCAR format:
```
Y3Ir
1.0
7.235 0.000 0.000
0.000 9.296 0.000
0.000 0.000 6.406
Y Ir
12 4
Direct
0.034 0.250 0.130 Y
0.176 0.063 0.674 Y
0.176 0.437 0.674 Y
0.324 0.563 0.174 Y
0.324 0.937 0.174 Y
0.466 0.750 0.630 Y
0.534 0.250 0.370 Y
0.676 0.063 0.826 Y
0.676 0.437 0.826 Y
0.824 0.563 0.326 Y
0.824 0.937 0.326 Y
0.966 0.750 0.870 Y
0.116 0.750 0.456 Ir
0.384 0.250 0.956 Ir
0.616 0.750 0.044 Ir
0.884 0.250 0.544 Ir
```

Computed properties:
* theoretical density: 7.08 Mg/m³
* space group: No. 62
* formation energy: -2.3 eV/f.u.
* M_tot: 0.1 μB/cell
* DFT total energy: -7.63 eV/atom

---

Entry 2:
TbErIn2Pd4: relaxed, PBE.

The structure in POSCAR format:
```
TbErIn2Pd4
1.0
4.591 0.000 0.000
-2.296 3.976 0.000
0.000 0.000 8.900
Tb Er In Pd
1 1 2 4
Direct
0.000 0.000 0.000 Tb
0.333 0.667 0.500 Er
0.667 0.333 0.252 In
0.667 0.333 0.748 In
0.000 0.000 0.339 Pd
0.000 0.000 0.661 Pd
0.333 0.667 0.165 Pd
0.333 0.667 0.835 Pd
```

Computed properties:
* theoretical density: 10.03 Mg/m³
* space group: No. 187
* M_tot: 0.0 μB/cell
* DFT total energy: -5.25 eV/atom

---

Question: Among the records above, which one has the lowest M_tot?
Answer: TbErIn2Pd4